CaCuCl4: optimized geometry, PBE.

Structure (CIF):
```
data_CaCuCl4
_chemical_formula_sum 'Ca2 Cu2 Cl8'
_space_group_name_H-M_alt 'P 1 21/c 1'
_space_group_IT_number 14
_cell_length_a 7.391
_cell_length_b 6.284
_cell_length_c 7.679
_cell_angle_alpha 90.00
_cell_angle_beta 119.48
_cell_angle_gamma 90.00
loop_
_space_group_symop_operation_xyz
'x,y,z'
'-x,-y,-z'
'-x,y+1/2,-z+1/2'
'x,-y+1/2,z+1/2'
loop_
_atom_site_label
_atom_site_type_symbol
_atom_site_fract_x
_atom_site_fract_y
_atom_site_fract_z
Ca1 Ca 0.000 0.000 0.000
Cu1 Cu 0.500 0.000 0.500
Cl1 Cl 0.183 0.187 0.371
Cl2 Cl 0.353 0.724 0.734
```

Summary:
The formation energy (no corrections) comes out at -1.395 eV/atom. Its offset from the most stable computed form is 0 meV/atom. As for the crystal system: monoclinic.